VASP calculation (PBE) on SnPd3S after structural relaxation.

Cell and atoms, written as CIF:
```
data_SnPd3S
_cell_length_a 4.934
_cell_length_b 4.934
_cell_length_c 4.934
_cell_angle_alpha 90.00
_cell_angle_beta 90.00
_cell_angle_gamma 90.00
_symmetry_space_group_name_H-M 'P m -3 m'
_symmetry_Int_Tables_number 221
_symmetry_space_group_name_Hall '-P 4 2 3'
loop_
_atom_site_label
_atom_site_fract_x
_atom_site_fract_y
_atom_site_fract_z
_atom_site_occupancy
Sn1 0.000 0.000 0.000 1
Pd1 0.000 0.000 0.500 1
S1 0.500 0.500 0.500 1
```

E above lowest polymorph: 1.010 eV per atom
total magnetization: 0.000 μB/cell
DOS(E_F): 0.22 states/eV/atom
formation energy from raw total energies: 3.721 eV/f.u.
crystal system: cubic

=====

VASP calculation (PBE) on HoTh after structural relaxation.

Cell and atoms, written as CIF:
```
data_HoTh
_cell_length_a 3.5458
_cell_length_b 3.5458
_cell_length_c 17.3244
_cell_angle_alpha 90.00
_cell_angle_beta 90.00
_cell_angle_gamma 120.00
_symmetry_space_group_name_H-M 'R -3 m'
_symmetry_Int_Tables_number 166
_symmetry_space_group_name_Hall '-R 3 2"'
loop_
_atom_site_label
_atom_site_fract_x
_atom_site_fract_y
_atom_site_fract_z
_atom_site_occupancy
Ho1 0.0000 0.0000 0.0000 1
Th1 0.0000 0.0000 0.5000 1
```

E above lowest polymorph: 0.015 eV per atom
total magnetization: 0.000 μB/cell
DOS(E_F): 1.51 states/eV/atom
formation energy from the elements: 38 meV per atom
crystal system: trigonal